## K2Sb (GGA-PBE)

Data for crystalline K2Sb at its relaxed geometry.

Cell: 6.4622 6.4622 6.4622 Å, 138.47 138.47 60.18°
Closest atoms and distances in Å follow each position.
Fractional positions:
K 0.3458 0.3458 0.0000  1 K 3.45, 4 Sb 3.67
K 0.6542 0.6542 0.0000  1 K 3.45, 4 Sb 3.67
Sb 0.0000 0.0000 0.0000  10 K 3.67-3.87

Polymorph energy (0 for the lowest one) (meV/atom): 121
Uncorrected formation energy (eV per atom): -0.286
DOS at the Fermi energy (states/eV per atom): 0.43

=====

## LaV3Re (GGA-PBE)

Data for crystalline LaV3Re at its relaxed geometry.

Cell: 4.4828 4.4828 4.4828 Å, 90.00 90.00 90.00°
Closest atoms and distances in Å follow each position.
Fractional positions:
Re 0.5000 0.5000 0.5000  12 V 3.17
La 0.0000 0.0000 0.0000  6 V 2.24
V 0.0000 0.5000 0.0000  2 La 2.24
V 0.0000 0.0000 0.5000  2 La 2.24
V 0.5000 0.0000 0.0000  2 La 2.24

Polymorph energy (0 for the lowest one) (meV/atom): 1302
Energy of formation (meV/atom): 2026.8
DOS at the Fermi energy (states/eV per atom): 1.51

=====

## CaCrInP2 (GGA-PBE)

Data for crystalline CaCrInP2 at its relaxed geometry.

Cell: 5.2020 5.6151 5.2020 Å, 90.00 90.00 90.00°
Closest atoms and distances in Å follow each position.
Fractional positions:
Cr 0.5000 0.5000 0.5000  4 In 3.68, 8 P 3.83
Ca 0.0000 0.0000 0.0000  4 P 2.60, 2 In 2.81
P 0.0000 0.0000 0.5000  2 Ca 2.60
P 0.5000 0.0000 0.0000  2 Ca 2.60
In 0.0000 0.5000 0.0000  2 Ca 2.81

Energy of formation (meV/atom): 1077.0
DOS at the Fermi energy (states/eV per atom): 0.56

=====

## Hf4Os3Rh (GGA-PBE)

Data for crystalline Hf4Os3Rh at its relaxed geometry.

Cell: 3.2540 3.2540 13.0754 Å, 90.00 90.00 90.00°
Closest atoms and distances in Å follow each position.
Fractional positions:
Os 0.5000 0.5000 0.2485  8 Hf 2.81-2.84
Os 0.5000 0.5000 0.5000  8 Hf 2.82
Os 0.5000 0.5000 0.7515  8 Hf 2.81-2.84
Hf 0.0000 0.0000 0.8744  4 Os 2.81, 4 Rh 2.83
Hf 0.0000 0.0000 0.1256  4 Os 2.81, 4 Rh 2.83
Hf 0.0000 0.0000 0.3753  8 Os 2.82-2.84
Hf 0.0000 0.0000 0.6247  8 Os 2.82-2.84
Rh 0.5000 0.5000 0.0000  8 Hf 2.83

Energy of formation (meV/atom): -736.5
DOS at the Fermi energy (states/eV per atom): 0.50

=====

## Ge3PIr (GGA-PBE)

Data for crystalline Ge3PIr at its relaxed geometry.

Cell: 4.7703 4.7703 4.7703 Å, 90.00 90.00 90.00°
Closest atoms and distances in Å follow each position.
Fractional positions:
P 0.5000 0.5000 0.5000  12 Ge 3.37
Ge 0.0000 0.5000 0.0000  2 Ir 2.39
Ge 0.0000 0.0000 0.5000  2 Ir 2.39
Ge 0.5000 0.0000 0.0000  2 Ir 2.39
Ir 0.0000 0.0000 0.0000  6 Ge 2.39

Polymorph energy (0 for the lowest one) (meV/atom): 0
Energy of formation (meV/atom): 404.3
DOS at the Fermi energy (states/eV per atom): 0.16

=====

## TbPaTc (GGA-PBE)

Data for crystalline TbPaTc at its relaxed geometry.

Cell: 3.4817 3.4817 6.1596 Å, 106.42 106.42 90.00°
Closest atoms and distances in Å follow each position.
Fractional positions:
Pa 0.3042 0.3042 0.6085  4 Tc 2.77
Tb 0.0043 0.0043 0.0086  5 Tc 3.24-3.53, 5 Pa 3.34-3.39, 4 Tb 3.48
Tc 0.6915 0.6915 0.3830  4 Pa 2.77

Polymorph energy (0 for the lowest one) (meV/atom): 0
Energy of formation (meV/atom): -142.5
DOS at the Fermi energy (states/eV per atom): 1.17

=====

> Which formula does entry 5 have?

Ge3PIr

=====

> Look up the DOS at the Fermi energy of the sixth one.

1.17 states/eV per atom

=====

> Among the records above, which one has the highest DOS at the Fermi energy?

LaV3Re